# Ce3Pu2Ga3 (GGA-PBE, relaxed)
data_Ce3Pu2Ga3
_chemical_formula_sum 'Ce6 Pu4 Ga6'
_cell_length_a 8.9600
_cell_length_b 8.9600
_cell_length_c 5.8089
_cell_angle_alpha 90.00
_cell_angle_beta 90.00
_cell_angle_gamma 120.00
_space_group_name_H-M_alt 'P 63/m c m'
_space_group_IT_number 193
_space_group_name_Hall '-P 6c 2'
loop_
_atom_site_label
_atom_site_fract_x
_atom_site_fract_y
_atom_site_fract_z
Ce1 0.0000 0.2578 0.2500
Pu1 0.3333 0.6667 0.0000
Ga1 0.0000 0.3927 0.7500
# VASP energy: -7.234 eV/atom
# Magnetization: 28.50 Bohr magnetons per cell
# Energy of formation: -2.33 eV per formula unit